Below is LiWAu after structural relaxation, with properties calculated at the PBE level.

## Properties
- theoretical density (g cm⁻³) = 10.998
- DOS(E_F) (states/eV/cell) = 5.6
- energy of formation (meV/atom) = 688

Structure (CIF):
```
data_LiWAu
_chemical_formula_sum 'Li4 W4 Au4'
_space_group_name_H-M_alt 'P n m a'
_space_group_IT_number 62
_cell_length_a 9.4107
_cell_length_b 5.0992
_cell_length_c 4.8800
_cell_angle_alpha 90.00
_cell_angle_beta 90.00
_cell_angle_gamma 90.00
loop_
_space_group_symop_operation_xyz
'x,y,z'
'-x,-y,-z'
'-x+1/2,-y,z+1/2'
'x+1/2,y,-z+1/2'
'x+1/2,-y+1/2,-z+1/2'
'-x+1/2,y+1/2,z+1/2'
'-x,y+1/2,-z'
'x,-y+1/2,z'
loop_
_atom_site_label
_atom_site_fract_x
_atom_site_fract_y
_atom_site_fract_z
Li1 0.2399 0.2500 0.0017
W1 0.0437 0.7500 0.0001
Au1 0.0000 0.0000 0.5000
```

Below is VBiH after structural relaxation, with properties calculated at the PBE level.

## Properties
- theoretical density (g cm⁻³) = 9.117
- DOS(E_F) (states/eV/cell) = 7.8
- total DFT energy (no corrections) (eV/atom) = -5.3187

Structure (CIF):
```
data_VBiH
_chemical_formula_sum 'V4 Bi4 H4'
_space_group_name_H-M_alt 'P n m a'
_space_group_IT_number 62
_cell_length_a 8.1472
_cell_length_b 3.4165
_cell_length_c 6.8293
_cell_angle_alpha 90.00
_cell_angle_beta 90.00
_cell_angle_gamma 90.00
loop_
_space_group_symop_operation_xyz
'x,y,z'
'-x,-y,-z'
'-x+1/2,-y,z+1/2'
'x+1/2,y,-z+1/2'
'x+1/2,-y+1/2,-z+1/2'
'-x+1/2,y+1/2,z+1/2'
'-x,y+1/2,-z'
'x,-y+1/2,z'
loop_
_atom_site_label
_atom_site_fract_x
_atom_site_fract_y
_atom_site_fract_z
V1 0.0321 0.2500 0.1289
Bi1 0.1923 0.2500 0.5184
H1 0.0524 0.2500 0.8728
```

Below is ScBRu after structural relaxation, with properties calculated at the PBE level.

## Properties
- theoretical density (g cm⁻³) = 6.388
- DOS(E_F) (states/eV/cell) = 5.3
- energy of formation (meV/atom) = -517

Structure (CIF):
```
data_ScBRu
_chemical_formula_sum 'Sc4 B4 Ru4'
_space_group_name_H-M_alt 'I m m m'
_space_group_IT_number 71
_space_group_name_Hall '-I 2 2'
_cell_length_a 3.1242
_cell_length_b 5.5379
_cell_length_c 9.4249
_cell_angle_alpha 90.00
_cell_angle_beta 90.00
_cell_angle_gamma 90.00
loop_
_atom_site_label
_atom_site_fract_x
_atom_site_fract_y
_atom_site_fract_z
Sc1 0.0000 0.0000 0.1963
B1 0.0000 0.5000 0.0931
Ru1 0.0000 0.2420 0.5000
```

Below is BaPmTiO4 after structural relaxation, with properties calculated at the PBE level.

## Properties
- theoretical density (g cm⁻³) = 6.365
- DOS(E_F) (states/eV/cell) = 4.8
- energy relative to the elements, uncorrected (eV per atom) = -2.947

Structure (CIF):
```
data_BaPmTiO4
_chemical_formula_sum 'Ba2 Pm2 Ti2 O8'
_space_group_name_H-M_alt 'I 4 m m'
_space_group_IT_number 107
_space_group_name_Hall 'I 4 -2'
_cell_length_a 3.9649
_cell_length_b 3.9649
_cell_length_c 13.0830
_cell_angle_alpha 90.00
_cell_angle_beta 90.00
_cell_angle_gamma 90.00
loop_
_atom_site_label
_atom_site_fract_x
_atom_site_fract_y
_atom_site_fract_z
Ba1 0.0000 0.0000 0.0000
Pm1 0.0000 0.0000 0.7133
Ti1 0.0000 0.0000 0.3448
O1 0.0000 0.0000 0.1925
O2 0.0000 0.0000 0.5379
O3 0.0000 0.5000 0.3403
```